(1)
Below is crystalline AgBi2O5 at its relaxed geometry, with properties calculated at the GGA-PBE level.

Unit cell a=5.970 b=8.605 c=11.288 alpha=68.11 beta=74.67 gamma=69.70
Positions (direct):
O: 0.434 0.373 0.596
O: 0.047 0.660 0.937
Ag: 0.009 0.125 0.232
Bi: 0.190 0.624 0.501
O: 0.998 0.968 0.128
Ag: 0.635 0.625 0.732
O: 0.457 0.596 0.117
O: 0.643 0.840 0.563
Bi: 0.175 0.424 0.864
O: 0.566 0.627 0.404
Bi: 0.685 0.124 0.001
O: 0.953 0.340 0.063
Bi: 0.810 0.376 0.499
Bi: 0.537 0.924 0.364
O: 0.597 0.873 0.096
Bi: 0.463 0.076 0.636
O: 0.906 0.468 0.628
O: 0.403 0.127 0.904
O: 0.146 0.679 0.680
O: 0.170 0.904 0.383
O: 0.504 0.821 0.820
O: 0.002 0.032 0.872
O: 0.496 0.179 0.180
Ag: 0.991 0.875 0.768
Ag: 0.365 0.375 0.268
Bi: 0.825 0.576 0.136
O: 0.094 0.532 0.372
Bi: 0.315 0.876 0.999
O: 0.357 0.160 0.437
O: 0.854 0.321 0.320
O: 0.830 0.096 0.617
O: 0.543 0.404 0.883

Output
**Space-group type**: C2/c (15)
**DOS at the Fermi energy**: 0.25 states/eV per atom
**Volume**: 15.6 Å³/atom
**Total energy**: -0.37458 Ry per atom
**Formation energy from raw total energies**: -0.671 eV/atom

=====

(2)
Below is crystalline AgBiO3 at its relaxed geometry, with properties calculated at the GGA-PBE level.

Unit cell a=4.181 b=4.181 c=4.181 alpha=90.00 beta=90.00 gamma=90.00
Positions (direct):
O: 0.000 0.000 0.500
O: 0.000 0.500 0.000
O: 0.500 0.000 0.000
Ag: 0.500 0.500 0.500
Bi: 0.000 0.000 0.000

Output
**Space-group type**: Pm-3m (221)
**DOS at the Fermi energy**: 0.74 states/eV per atom
**Volume**: 14.6 Å³/atom
**Total energy**: -0.34113 Ry per atom
**Formation energy from raw total energies**: -0.320 eV/atom

=====

(3)
Below is crystalline AgBiO3 at its relaxed geometry, with properties calculated at the GGA-PBE level.

Unit cell a=6.791 b=6.791 c=3.527 alpha=90.00 beta=90.00 gamma=106.99
Last column: magnetic moment on the atom in μB.
Positions (direct):
O: 0.642 0.358 0.500  0.15
Bi: 0.000 0.500 0.500  0.00
Ag: 0.000 0.000 0.000  0.01
Ag: 0.500 0.500 0.000  0.21
O: 0.045 0.311 0.000  0.00
Bi: 0.500 0.000 0.500  0.00
O: 0.358 0.642 0.500  0.15
O: 0.955 0.689 0.000  0.00
O: 0.689 0.955 0.000  0.00
O: 0.311 0.045 0.000  0.00

Output
**Space-group type**: Cmmm (65)
**DOS at the Fermi energy**: 0.40 states/eV per atom
**Volume**: 15.6 Å³/atom
**Total energy**: -0.36204 Ry per atom
**Formation energy from raw total energies**: -0.604 eV/atom

=====

(4)
Below is crystalline Ag3BiO4 at its relaxed geometry, with properties calculated at the GGA-PBE level.

Unit cell a=3.326 b=6.454 c=6.454 alpha=119.56 beta=90.00 gamma=90.00
Positions (direct):
Ag: 0.500 0.500 0.500
Ag: 0.000 0.500 0.000
O: 0.500 0.198 0.802
O: 0.000 0.236 0.236
O: 0.000 0.764 0.764
O: 0.500 0.802 0.198
Ag: 0.000 0.000 0.500
Bi: 0.500 0.000 0.000

Output
**Space-group type**: Cmmm (65)
**DOS at the Fermi energy**: 0.29 states/eV per atom
**Volume**: 15.1 Å³/atom
**E above lowest polymorph**: 0 meV per atom
**Total energy**: -0.32207 Ry per atom
**Formation energy from raw total energies**: -0.349 eV/atom

=====

Q: The lowest formation energy from raw total energies belongs to which entry?
A: AgBi2O5

=====

Q: What is the DOS at the Fermi energy in the fourth record?
A: 0.29 states/eV per atom

=====

Q: What is the formation energy from raw total energies in the second record?
A: -0.320 eV/atom